(1)
Ba2SrBr | SCAN | PBEsol geometry

Values from the calculation:
ΔE_f (raw)   -887.2 meV per atom
Crystal system   trigonal

a b c (Å): 4.3141 4.3141 35.1070
angles (deg): 90.00 90.00 120.00
With the nearest neighbours (Å) after each atom.
Fractional positions:
Ba 0.0000 0.0000 0.2324  3 Br 3.39
Ba 0.0000 0.0000 0.7676  3 Br 3.39
Ba 0.3333 0.6667 0.4343  3 Br 3.39
Ba 0.3333 0.6667 0.8990  3 Br 3.39
Ba 0.6667 0.3333 0.1010  3 Br 3.39
Ba 0.6667 0.3333 0.5657  3 Br 3.39
Sr 0.0000 0.0000 0.0000  6 Sr 4.31, 6 Ba 4.33
Sr 0.3333 0.6667 0.6667  6 Sr 4.31, 6 Ba 4.33
Sr 0.6667 0.3333 0.3333  6 Sr 4.31, 6 Ba 4.33
Br 0.0000 0.0000 0.5000  6 Ba 3.39
Br 0.3333 0.6667 0.1667  6 Ba 3.39
Br 0.6667 0.3333 0.8333  6 Ba 3.39

***

(2)
Cs3B6H12Se4Br | SCAN | PBEsol geometry

Values from the calculation:
Crystal system   hexagonal
E_tot   -625.61 eV for the cell shown

a b c (Å): 10.4814 10.4814 8.7026
angles (deg): 90.00 90.00 120.00
With the nearest neighbours (Å) after each atom.
Fractional positions:
Cs 0.1558 0.3117 0.0000  8 H 3.06-3.30
Cs 0.1558 0.8442 0.0000  8 H 3.06-3.30
Cs 0.3117 0.1558 0.5000  8 H 3.06-3.30
Cs 0.6883 0.8442 0.0000  8 H 3.06-3.30
Cs 0.8442 0.1558 0.5000  8 H 3.06-3.30
Cs 0.8442 0.6883 0.5000  8 H 3.06-3.30
B 0.1240 0.5620 0.3271  2 H 1.22
B 0.2294 0.4588 0.6352  2 H 1.22
B 0.2294 0.7706 0.6352  2 H 1.22
B 0.4380 0.5620 0.3271  2 H 1.22
B 0.4380 0.8760 0.3271  2 H 1.22
B 0.4588 0.2294 0.1352  2 H 1.22
B 0.5412 0.7706 0.6352  2 H 1.22
B 0.5620 0.1240 0.8271  2 H 1.22
B 0.5620 0.4380 0.8271  2 H 1.22
B 0.7706 0.2294 0.1352  2 H 1.22
B 0.7706 0.5412 0.1352  2 H 1.22
B 0.8760 0.4380 0.8271  2 H 1.22
H 0.0005 0.5003 0.8796  1 B 1.22
H 0.1020 0.3993 0.6789  1 B 1.22
H 0.1020 0.7027 0.6789  1 B 1.22
H 0.1291 0.5645 0.1871  1 B 1.22
H 0.2973 0.3993 0.6789  1 B 1.22
H 0.2973 0.8980 0.6789  1 B 1.22
H 0.3993 0.1020 0.1789  1 B 1.22
H 0.3993 0.2973 0.1789  1 B 1.22
H 0.4355 0.5645 0.1871  1 B 1.22
H 0.4355 0.8709 0.1871  1 B 1.22
H 0.5003 0.0005 0.3796  1 B 1.22
H 0.5003 0.4997 0.3796  1 B 1.22
H 0.4997 0.5003 0.8796  1 B 1.22
H 0.4997 0.9995 0.8796  1 B 1.22
H 0.5645 0.1291 0.6871  1 B 1.22
H 0.5645 0.4355 0.6871  1 B 1.22
H 0.6007 0.7027 0.6789  1 B 1.22
H 0.6007 0.8980 0.6789  1 B 1.22
H 0.7027 0.1020 0.1789  1 B 1.22
H 0.7027 0.6007 0.1789  1 B 1.22
H 0.8709 0.4355 0.6871  1 B 1.22
H 0.8980 0.2973 0.1789  1 B 1.22
H 0.8980 0.6007 0.1789  1 B 1.22
H 0.9995 0.4997 0.3796  1 B 1.22
Se 0.2239 0.4477 0.4007  3 B 2.04-2.05
Se 0.2239 0.7761 0.4007  3 B 2.04-2.05
Se 0.3333 0.6667 0.7284  3 B 2.05
Se 0.4477 0.2239 0.9007  3 B 2.04-2.05
Se 0.5523 0.7761 0.4007  3 B 2.04-2.05
Se 0.6667 0.3333 0.2284  3 B 2.05
Se 0.7761 0.2239 0.9007  3 B 2.04-2.05
Se 0.7761 0.5523 0.9007  3 B 2.04-2.05
Br 0.0000 0.0000 0.2477  6 Cs 3.56-3.58, 6 H 3.81
Br 0.0000 0.0000 0.7477  6 Cs 3.56-3.58, 6 H 3.81